Compound: LaEuDyTl
Source: Alexandria via LeMat-Bulk
Functional: GGA-PBE
Structure: relaxed

Cell lengths 7.9669, 7.9669, 7.9669 Å; angles 90.00, 90.00, 90.00 degrees
Closest atoms and distances in Å follow each position.
Space group F-43m (No. 216)
Symmetry-distinct sites (fractional):
La: 0.0000 0.0000 0.0000  4 Tl 3.45, 4 Eu 3.45
Eu: 0.2500 0.2500 0.2500  4 La 3.45, 4 Dy 3.45
Dy: 0.0000 0.0000 0.5000  4 Eu 3.45, 4 Tl 3.45
Tl: 0.2500 0.2500 0.7500  4 Dy 3.45, 4 La 3.45

## Properties
DFT total energy ... -5.618 eV/atom
Formation enthalpy at 0 K ... -0.08 eV/atom
Calculated volume ... 31.60 Å³ per atom


Compound: LaEuDyY
Source: Alexandria via LeMat-Bulk
Functional: GGA-PBE
Structure: relaxed

Cell lengths 8.2694, 8.2694, 8.2694 Å; angles 90.00, 90.00, 90.00 degrees
Closest atoms and distances in Å follow each position.
Space group F-43m (No. 216)
Symmetry-distinct sites (fractional):
La: 0.0000 0.0000 0.0000  4 Eu 3.58, 4 Y 3.58
Eu: 0.2500 0.2500 0.2500  4 La 3.58, 4 Dy 3.58
Dy: 0.0000 0.0000 0.5000  4 Y 3.58, 4 Eu 3.58
Y: 0.2500 0.2500 0.7500  4 La 3.58, 4 Dy 3.58

## Properties
DFT total energy ... -6.426 eV/atom
Formation enthalpy at 0 K ... 0.14 eV/atom
Calculated volume ... 35.34 Å³ per atom


Compound: LiEuDy
Source: Alexandria via LeMat-Bulk
Functional: GGA-PBE
Structure: relaxed

Cell lengths 5.5881, 5.5881, 3.4571 Å; angles 90.00, 90.00, 120.00 degrees
Closest atoms and distances in Å follow each position.
Space group P3m1 (No. 156)
Symmetry-distinct sites (fractional):
Li: 0.0000 0.0000 0.0000  3 Eu 3.35, 3 Dy 3.42, 2 Li 3.46
Eu: 0.3333 0.6667 0.2576  3 Li 3.35, 2 Eu 3.46, 3 Dy 3.53
Dy: 0.6667 0.3333 0.6688  3 Li 3.42, 2 Dy 3.46, 6 Eu 3.53-3.81

## Properties
DFT total energy ... -5.394 eV/atom
Formation enthalpy at 0 K ... 0.20 eV/atom
Calculated volume ... 31.16 Å³ per atom


Compound: Li4EuDy
Source: Alexandria via LeMat-Bulk
Functional: GGA-PBE
Structure: relaxed

Cell lengths 8.4940, 8.4940, 8.4940 Å; angles 90.00, 90.00, 90.00 degrees
Closest atoms and distances in Å follow each position.
Space group F-43m (No. 216)
Symmetry-distinct sites (fractional):
Li: 0.1242 0.1242 0.3758  6 Li 2.98-3.02
Eu: 0.0000 0.0000 0.0000  12 Li 3.52, 4 Dy 3.68
Dy: 0.2500 0.2500 0.7500  12 Li 3.52, 4 Eu 3.68

## Properties
DFT total energy ... -3.652 eV/atom
Formation enthalpy at 0 K ... 0.10 eV/atom
Calculated volume ... 25.53 Å³ per atom


Compound: Li2EuDy
Source: Alexandria via LeMat-Bulk
Functional: GGA-PBE
Structure: relaxed

Cell lengths 3.8306, 3.8306, 7.8445 Å; angles 90.00, 90.00, 90.00 degrees
Closest atoms and distances in Å follow each position.
Space group P4/mmm (No. 123)
Symmetry-distinct sites (fractional):
Li: 0.0000 0.0000 0.2287  4 Dy 3.25, 4 Eu 3.44, 1 Li 3.59
Eu: 0.5000 0.5000 0.5000  8 Li 3.44, 4 Eu 3.83
Dy: 0.5000 0.5000 0.0000  8 Li 3.25

## Properties
DFT total energy ... -4.542 eV/atom
Formation enthalpy at 0 K ... 0.13 eV/atom
Calculated volume ... 28.78 Å³ per atom


Compound: LiEu2Dy
Source: Alexandria via LeMat-Bulk
Functional: GGA-PBE
Structure: relaxed

Cell lengths 3.8078, 3.8078, 9.4189 Å; angles 90.00, 90.00, 90.00 degrees
Closest atoms and distances in Å follow each position.
Space group P4/mmm (No. 123)
Symmetry-distinct sites (fractional):
Li: 0.0000 0.0000 0.0000  8 Eu 3.45, 4 Li 3.81
Eu: 0.5000 0.5000 0.2287  4 Li 3.45, 4 Dy 3.71, 4 Eu 3.81
Dy: 0.0000 0.0000 0.5000  8 Eu 3.71, 4 Dy 3.81

## Properties
DFT total energy ... -6.663 eV/atom
Formation enthalpy at 0 K ... 0.10 eV/atom
Calculated volume ... 34.14 Å³ per atom


Compound: Li2EuDy
Source: Alexandria via LeMat-Bulk
Functional: GGA-PBE
Structure: relaxed

Cell lengths 7.6981, 7.6981, 7.6981 Å; angles 90.00, 90.00, 90.00 degrees
Closest atoms and distances in Å follow each position.
Space group Fm-3m (No. 225)
Symmetry-distinct sites (fractional):
Li: 0.2500 0.2500 0.2500  4 Dy 3.33, 4 Eu 3.33
Eu: 0.0000 0.0000 0.0000  8 Li 3.33
Dy: 0.0000 0.0000 0.5000  8 Li 3.33

## Properties
DFT total energy ... -4.514 eV/atom
Formation enthalpy at 0 K ... 0.16 eV/atom
Calculated volume ... 28.51 Å³ per atom


Compound: LiEu2Dy
Source: Alexandria via LeMat-Bulk
Functional: GGA-PBE
Structure: relaxed

Cell lengths 8.2242, 8.2242, 8.2242 Å; angles 90.00, 90.00, 90.00 degrees
Closest atoms and distances in Å follow each position.
Space group Fm-3m (No. 225)
Symmetry-distinct sites (fractional):
Li: 0.0000 0.0000 0.0000  8 Eu 3.56
Eu: 0.2500 0.2500 0.2500  4 Dy 3.56, 4 Li 3.56
Dy: 0.0000 0.0000 0.5000  8 Eu 3.56

## Properties
DFT total energy ... -6.555 eV/atom
Formation enthalpy at 0 K ... 0.21 eV/atom
Calculated volume ... 34.77 Å³ per atom


Compound: LiEuDy
Source: Alexandria via LeMat-Bulk
Functional: GGA-PBE
Structure: relaxed

Cell lengths 3.7754, 3.7754, 12.9468 Å; angles 90.00, 90.00, 90.00 degrees
Closest atoms and distances in Å follow each position.
Space group I4mm (No. 107)
Symmetry-distinct sites (fractional):
Li: 0.0000 0.0000 0.0000  4 Dy 3.23, 4 Eu 3.38
Eu: 0.0000 0.0000 0.3404  4 Li 3.38, 4 Dy 3.72, 4 Eu 3.78
Dy: 0.0000 0.0000 0.6400  4 Li 3.23

## Properties
DFT total energy ... -5.465 eV/atom
Formation enthalpy at 0 K ... 0.13 eV/atom
Calculated volume ... 30.76 Å³ per atom


Compound: Li2EuDy
Source: Alexandria via LeMat-Bulk
Functional: GGA-PBE
Structure: relaxed

Cell lengths 3.4027, 3.4027, 36.5895 Å; angles 90.00, 90.00, 120.00 degrees
Closest atoms and distances in Å follow each position.
Space group R-3m (No. 166, hexagonal axes)
Symmetry-distinct sites (fractional):
Li: 0.0000 0.0000 0.0856  1 Dy 3.13, 6 Li 3.40
Eu: 0.0000 0.0000 0.5000  6 Eu 3.40, 6 Li 3.56
Dy: 0.0000 0.0000 0.0000  2 Li 3.13, 6 Dy 3.40

## Properties
DFT total energy ... -4.373 eV/atom
Formation enthalpy at 0 K ... 0.30 eV/atom
Calculated volume ... 30.57 Å³ per atom


Compound: LiEu2Dy
Source: Alexandria via LeMat-Bulk
Functional: GGA-PBE
Structure: relaxed

Cell lengths 3.5555, 3.5555, 37.4521 Å; angles 90.00, 90.00, 120.00 degrees
Closest atoms and distances in Å follow each position.
Space group R-3m (No. 166, hexagonal axes)
Symmetry-distinct sites (fractional):
Li: 0.0000 0.0000 0.0000  6 Eu 3.51, 6 Li 3.56
Eu: 0.0000 0.0000 0.4094  1 Dy 3.39, 3 Li 3.51, 6 Eu 3.56
Dy: 0.0000 0.0000 0.5000  2 Eu 3.39, 6 Dy 3.56

## Properties
DFT total energy ... -6.497 eV/atom
Formation enthalpy at 0 K ... 0.27 eV/atom
Calculated volume ... 34.17 Å³ per atom


Compound: LiEuDyMn
Source: Alexandria via LeMat-Bulk
Functional: GGA-PBE
Structure: relaxed

Cell lengths 7.3237, 7.3237, 7.3237 Å; angles 90.00, 90.00, 90.00 degrees
Closest atoms and distances in Å follow each position.
Space group F-43m (No. 216)
Symmetry-distinct sites (fractional):
Li: 0.0000 0.0000 0.0000  4 Dy 3.17, 4 Eu 3.17
Eu: 0.2500 0.2500 0.7500  4 Mn 3.17, 4 Li 3.17
Dy: 0.2500 0.2500 0.2500  4 Mn 3.17, 4 Li 3.17
Mn: 0.0000 0.0000 0.5000  4 Eu 3.17, 4 Dy 3.17

## Properties
DFT total energy ... -6.235 eV/atom
Formation enthalpy at 0 K ... 0.25 eV/atom
Calculated volume ... 24.55 Å³ per atom


Compound: LiEuDyPb
Source: Alexandria via LeMat-Bulk
Functional: GGA-PBE
Structure: relaxed

Cell lengths 7.6782, 7.6782, 7.6782 Å; angles 90.00, 90.00, 90.00 degrees
Closest atoms and distances in Å follow each position.
Space group F-43m (No. 216)
Symmetry-distinct sites (fractional):
Li: 0.0000 0.0000 0.0000  4 Dy 3.32, 4 Eu 3.32
Eu: 0.2500 0.2500 0.2500  4 Pb 3.32, 4 Li 3.32
Dy: 0.2500 0.2500 0.7500  4 Pb 3.32, 4 Li 3.32
Pb: 0.0000 0.0000 0.5000  4 Dy 3.32, 4 Eu 3.32

## Properties
DFT total energy ... -5.418 eV/atom
Formation enthalpy at 0 K ... -0.29 eV/atom
Calculated volume ... 28.29 Å³ per atom


Compound: LiPmEuDy
Source: Alexandria via LeMat-Bulk
Functional: GGA-PBE
Structure: relaxed

Cell lengths 8.0196, 8.0196, 8.0196 Å; angles 90.00, 90.00, 90.00 degrees
Closest atoms and distances in Å follow each position.
Space group F-43m (No. 216)
Symmetry-distinct sites (fractional):
Li: 0.0000 0.0000 0.0000  4 Pm 3.47, 4 Eu 3.47
Pm: 0.2500 0.2500 0.7500  4 Dy 3.47, 4 Li 3.47
Eu: 0.2500 0.2500 0.2500  4 Dy 3.47, 4 Li 3.47
Dy: 0.0000 0.0000 0.5000  4 Pm 3.47, 4 Eu 3.47

## Properties
DFT total energy ... -5.180 eV/atom
Formation enthalpy at 0 K ... 0.20 eV/atom
Calculated volume ... 32.24 Å³ per atom


Compound: LiPrEuDy
Source: Alexandria via LeMat-Bulk
Functional: GGA-PBE
Structure: relaxed

Cell lengths 8.0613, 8.0613, 8.0613 Å; angles 90.00, 90.00, 90.00 degrees
Closest atoms and distances in Å follow each position.
Space group F-43m (No. 216)
Symmetry-distinct sites (fractional):
Li: 0.0000 0.0000 0.0000  4 Pr 3.49, 4 Eu 3.49
Pr: 0.2500 0.2500 0.2500  4 Dy 3.49, 4 Li 3.49
Eu: 0.2500 0.2500 0.7500  4 Li 3.49, 4 Dy 3.49
Dy: 0.0000 0.0000 0.5000  4 Pr 3.49, 4 Eu 3.49

## Properties
DFT total energy ... -5.195 eV/atom
Formation enthalpy at 0 K ... 0.20 eV/atom
Calculated volume ... 32.74 Å³ per atom


Compound: LiEuDyPt
Source: Alexandria via LeMat-Bulk
Functional: GGA-PBE
Structure: relaxed

Cell lengths 7.1464, 7.1464, 7.1464 Å; angles 90.00, 90.00, 90.00 degrees
Closest atoms and distances in Å follow each position.
Space group F-43m (No. 216)
Symmetry-distinct sites (fractional):
Li: 0.0000 0.0000 0.0000  4 Dy 3.09, 4 Eu 3.09
Eu: 0.2500 0.2500 0.7500  4 Li 3.09, 4 Pt 3.09
Dy: 0.2500 0.2500 0.2500  4 Pt 3.09, 4 Li 3.09
Pt: 0.0000 0.0000 0.5000  4 Eu 3.09, 4 Dy 3.09

## Properties
DFT total energy ... -6.265 eV/atom
Formation enthalpy at 0 K ... -0.56 eV/atom
Calculated volume ... 22.81 Å³ per atom


Compound: LiEuDySi
Source: Alexandria via LeMat-Bulk
Functional: GGA-PBE
Structure: relaxed

Cell lengths 7.2181, 7.2181, 7.2181 Å; angles 90.00, 90.00, 90.00 degrees
Closest atoms and distances in Å follow each position.
Space group F-43m (No. 216)
Symmetry-distinct sites (fractional):
Li: 0.0000 0.0000 0.0000  4 Dy 3.13, 4 Eu 3.13
Eu: 0.2500 0.2500 0.7500  4 Li 3.13, 4 Si 3.13
Dy: 0.2500 0.2500 0.2500  4 Li 3.13, 4 Si 3.13
Si: 0.0000 0.0000 0.5000  4 Dy 3.13, 4 Eu 3.13

## Properties
DFT total energy ... -5.840 eV/atom
Raw formation energy ... -0.29 eV/atom
Calculated volume ... 23.50 Å³ per atom


Compound: LiSmEuDy
Source: Alexandria via LeMat-Bulk
Functional: GGA-PBE
Structure: relaxed

Cell lengths 8.0021, 8.0021, 8.0021 Å; angles 90.00, 90.00, 90.00 degrees
Closest atoms and distances in Å follow each position.
Space group F-43m (No. 216)
Symmetry-distinct sites (fractional):
Li: 0.0000 0.0000 0.0000  4 Sm 3.47, 4 Eu 3.47
Sm: 0.2500 0.2500 0.2500  4 Dy 3.47, 4 Li 3.47
Eu: 0.2500 0.2500 0.7500  4 Dy 3.47, 4 Li 3.47
Dy: 0.0000 0.0000 0.5000  4 Eu 3.47, 4 Sm 3.47

## Properties
DFT total energy ... -5.170 eV/atom
Formation enthalpy at 0 K ... 0.21 eV/atom
Calculated volume ... 32.03 Å³ per atom


Compound: LiTbEuDy
Source: Alexandria via LeMat-Bulk
Functional: GGA-PBE
Structure: relaxed

Cell lengths 7.9561, 7.9561, 7.9561 Å; angles 90.00, 90.00, 90.00 degrees
Closest atoms and distances in Å follow each position.
Space group F-43m (No. 216)
Symmetry-distinct sites (fractional):
Li: 0.0000 0.0000 0.0000  4 Tb 3.45, 4 Eu 3.45
Tb: 0.2500 0.2500 0.7500  4 Dy 3.45, 4 Li 3.45
Eu: 0.2500 0.2500 0.2500  4 Dy 3.45, 4 Li 3.45
Dy: 0.0000 0.0000 0.5000  4 Tb 3.45, 4 Eu 3.45

## Properties
DFT total energy ... -5.141 eV/atom
Formation enthalpy at 0 K ... 0.21 eV/atom
Calculated volume ... 31.48 Å³ per atom


Compound: LiEuDyTl
Source: Alexandria via LeMat-Bulk
Functional: GGA-PBE
Structure: relaxed

Cell lengths 7.6819, 7.6819, 7.6819 Å; angles 90.00, 90.00, 90.00 degrees
Closest atoms and distances in Å follow each position.
Space group F-43m (No. 216)
Symmetry-distinct sites (fractional):
Li: 0.0000 0.0000 0.0000  4 Eu 3.33, 4 Dy 3.33
Eu: 0.2500 0.2500 0.2500  4 Tl 3.33, 4 Li 3.33
Dy: 0.2500 0.2500 0.7500  4 Tl 3.33, 4 Li 3.33
Tl: 0.0000 0.0000 0.5000  4 Dy 3.33, 4 Eu 3.33

## Properties
DFT total energy ... -4.962 eV/atom
Formation enthalpy at 0 K ... -0.17 eV/atom
Calculated volume ... 28.33 Å³ per atom